Record 1
This record from Alexandria via LeMat-Bulk describes an optimized crystal structure of Er6BiRh2. The functional is PBE-GGA.

```
data_Er6BiRh2
_cell_length_a 9.318
_cell_length_b 9.687
_cell_length_c 10.423
_cell_angle_alpha 90.00
_cell_angle_beta 90.00
_cell_angle_gamma 90.00
_space_group_name_H-M_alt 'I m m m'
_space_group_IT_number 71
_space_group_name_Hall '-I 2 2'
loop_
_atom_site_label
_atom_site_type_symbol
_atom_site_fract_x
_atom_site_fract_y
_atom_site_fract_z
Er1 Er 0.000 0.209 0.235
Er2 Er 0.190 0.500 0.169
Er3 Er 0.207 0.320 0.500
Bi1 Bi 0.000 0.000 0.000
Bi2 Bi 0.000 0.000 0.500
Rh1 Rh 0.000 0.338 0.000
Rh2 Rh 0.000 0.500 0.365
```

Calculated values
**Energy of formation**: -5.7 eV per formula unit
**M_tot**: 0.00 Bohr magnetons per cell
**Volume**: 235.2 Å³/f.u.


Record 2
This record from Alexandria via LeMat-Bulk describes an optimized crystal structure of TlW3. The functional is PBE-GGA.

```
data_TlW3
_cell_length_a 3.300
_cell_length_b 4.607
_cell_length_c 9.219
_cell_angle_alpha 90.00
_cell_angle_beta 90.00
_cell_angle_gamma 90.00
_space_group_name_H-M_alt 'I m m m'
_space_group_IT_number 71
_space_group_name_Hall '-I 2 2'
loop_
_atom_site_label
_atom_site_type_symbol
_atom_site_fract_x
_atom_site_fract_y
_atom_site_fract_z
Tl1 Tl 0.000 0.000 0.000
W1 W 0.000 0.000 0.500
W2 W 0.000 0.500 0.235
```

Calculated values
**Energy of formation**: 3.0 eV per formula unit
**M_tot**: 0.00 Bohr magnetons per cell
**Volume**: 70.1 Å³/f.u.
**Excess energy over the best structure of this formula in the dataset**: 185.0 meV per atom


Record 3
This record from Alexandria via LeMat-Bulk describes an optimized crystal structure of Cd5In12Ga2. The functional is PBE-GGA.

```
data_Cd5In12Ga2
_cell_length_a 18.701
_cell_length_b 6.626
_cell_length_c 9.816
_cell_angle_alpha 90.00
_cell_angle_beta 120.87
_cell_angle_gamma 90.00
_space_group_name_H-M_alt 'C 1 2/m 1'
_space_group_IT_number 12
loop_
_space_group_symop_operation_xyz
'x,y,z'
'-x,-y,-z'
'-x,y,-z'
'x,-y,z'
'x+1/2,y+1/2,z'
'-x+1/2,-y+1/2,-z'
'-x+1/2,y+1/2,-z'
'x+1/2,-y+1/2,z'
loop_
_atom_site_label
_atom_site_type_symbol
_atom_site_fract_x
_atom_site_fract_y
_atom_site_fract_z
Cd1 Cd 0.000 0.000 0.000
Cd2 Cd 0.152 0.500 0.533
Cd3 Cd 0.178 0.500 0.065
In1 In 0.006 0.500 0.171
In2 In 0.028 0.000 0.322
In3 In 0.159 0.238 0.801
In4 In 0.180 0.232 0.307
Ga1 Ga 0.000 0.301 0.500
```

Calculated values
**Energy of formation**: 1.7 eV per formula unit
**M_tot**: 0.00 Bohr magnetons per cell
**Volume**: 522.0 Å³/f.u.
**Excess energy over the best structure of this formula in the dataset**: 47.1 meV per atom


Record 4
This record from Alexandria via LeMat-Bulk describes an optimized crystal structure of ZrAlAg. The functional is PBE-GGA.

```
data_ZrAlAg
_cell_length_a 4.262
_cell_length_b 4.065
_cell_length_c 13.124
_cell_angle_alpha 90.00
_cell_angle_beta 90.00
_cell_angle_gamma 90.00
_space_group_name_H-M_alt 'A m m 2'
_space_group_IT_number 38
loop_
_space_group_symop_operation_xyz
'x,y,z'
'-x,-y,z'
'-x,y,z'
'x,-y,z'
'x,y+1/2,z+1/2'
'-x,-y+1/2,z+1/2'
'-x,y+1/2,z+1/2'
'x,-y+1/2,z+1/2'
loop_
_atom_site_label
_atom_site_type_symbol
_atom_site_fract_x
_atom_site_fract_y
_atom_site_fract_z
Zr1 Zr 0.000 0.000 0.000
Zr2 Zr 0.000 0.000 0.324
Al1 Al 0.000 0.000 0.661
Al2 Al 0.500 0.000 0.832
Ag1 Ag 0.500 0.000 0.168
Ag2 Ag 0.500 0.000 0.500
```

Calculated values
**Energy of formation**: -0.6 eV per formula unit
**M_tot**: 0.00 Bohr magnetons per cell
**Volume**: 56.8 Å³/f.u.


Record 5
This record from Alexandria via LeMat-Bulk describes an optimized crystal structure of La4Pm2Dy. The functional is PBE-GGA.

```
data_La4Pm2Dy
_cell_length_a 6.975
_cell_length_b 11.705
_cell_length_c 12.342
_cell_angle_alpha 90.00
_cell_angle_beta 90.00
_cell_angle_gamma 90.00
_space_group_name_H-M_alt 'I m m a'
_space_group_IT_number 74
_space_group_name_Hall '-I 2b 2'
loop_
_atom_site_label
_atom_site_type_symbol
_atom_site_fract_x
_atom_site_fract_y
_atom_site_fract_z
La1 La 0.000 0.003 0.148
La2 La 0.219 0.250 0.993
Pm1 Pm 0.000 0.000 0.500
Pm2 Pm 0.000 0.250 0.717
Dy1 Dy 0.250 0.250 0.250
```

Calculated values
**Energy of formation**: 1.4 eV per formula unit
**M_tot**: 0.00 Bohr magnetons per cell
**Volume**: 251.9 Å³/f.u.
**Excess energy over the best structure of this formula in the dataset**: 116.8 meV per atom


Record 6
This record from Alexandria via LeMat-Bulk describes an optimized crystal structure of TiV3Sb. The functional is PBE-GGA.

```
data_TiV3Sb
_cell_length_a 4.782
_cell_length_b 4.782
_cell_length_c 4.782
_cell_angle_alpha 90.00
_cell_angle_beta 90.00
_cell_angle_gamma 90.00
_space_group_name_H-M_alt 'P m -3 m'
_space_group_IT_number 221
_space_group_name_Hall '-P 4 2 3'
loop_
_atom_site_label
_atom_site_type_symbol
_atom_site_fract_x
_atom_site_fract_y
_atom_site_fract_z
Ti1 Ti 0.000 0.000 0.000
V1 V 0.000 0.500 0.500
Sb1 Sb 0.500 0.500 0.500
```

Calculated values
**E_form (uncorrected)**: 1421.5 meV per atom
**M_tot**: 1.63 Bohr magnetons per cell
**Volume**: 109.3 Å³/f.u.
**Excess energy over the best structure of this formula in the dataset**: 438.2 meV per atom


Record 7
This record from Alexandria via LeMat-Bulk describes an optimized crystal structure of CaReAsH2. The functional is PBE-GGA.

```
data_CaReAsH2
_cell_length_a 3.817
_cell_length_b 3.817
_cell_length_c 6.243
_cell_angle_alpha 90.00
_cell_angle_beta 90.00
_cell_angle_gamma 90.00
_space_group_name_H-M_alt 'P 4/m m m'
_space_group_IT_number 123
_space_group_name_Hall '-P 4 2'
loop_
_atom_site_label
_atom_site_type_symbol
_atom_site_fract_x
_atom_site_fract_y
_atom_site_fract_z
Ca1 Ca 0.000 0.000 0.000
Re1 Re 0.500 0.500 0.500
As1 As 0.000 0.000 0.500
H1 H 0.000 0.500 0.000
```

Calculated values
**M_tot**: 3.62 Bohr magnetons per cell
**E_tot**: -21.9 eV per formula unit
**Volume**: 91.0 Å³/f.u.


Record 8
This record from Alexandria via LeMat-Bulk describes an optimized crystal structure of Ac2SmBr. The functional is PBE-GGA.

```
data_Ac2SmBr
_cell_length_a 3.9471
_cell_length_b 3.9471
_cell_length_c 33.8339
_cell_angle_alpha 90.00
_cell_angle_beta 90.00
_cell_angle_gamma 120.00
_space_group_name_H-M_alt 'R -3 m'
_space_group_IT_number 166
_space_group_name_Hall '-R 3 2"'
loop_
_atom_site_label
_atom_site_type_symbol
_atom_site_fract_x
_atom_site_fract_y
_atom_site_fract_z
Ac1 Ac 0.0000 0.0000 0.2433
Sm1 Sm 0.0000 0.0000 0.0000
Br1 Br 0.0000 0.0000 0.5000
```

Calculated values
**E_form (uncorrected)**: -540.0 meV per atom
**M_tot**: 0.00 Bohr magnetons per cell
**Volume**: 152.2 Å³/f.u.


| no. | DOS(E_F) (states/eV/cell) |
| --- | --- |
| 1 | 33.1 |
| 2 | 7.3 |
| 3 | 16.0 |
| 4 | 10.7 |
| 5 | 38.1 |
| 6 | 6.3 |
| 7 | 2.2 |
| 8 | 10.8 |